# 1
DFT (PBE) results for a relaxed Rb2AcTa2O7 crystal.

Symmetry: I4/mmm
Calculated total energy in Ry/atom: -0.5959

extended XYZ file:
```
12
Lattice="-2.0430 2.0430 11.4118 2.0430 -2.0430 11.4118 2.0430 2.0430 -11.4118" Properties=species:S:1:pos:R:3 pbc="T T T"
Rb 0.0000 0.0000 4.3749
Rb 0.0000 0.0000 18.4487
Ac 0.0000 0.0000 0.0000
Ta 0.0000 0.0000 9.2771
Ta 0.0000 0.0000 13.5465
O 2.0430 0.0000 1.8530
O 0.0000 0.0000 7.4087
O 2.0430 0.0000 9.5588
O 0.0000 0.0000 11.4118
O 0.0000 2.0430 1.8530
O 0.0000 0.0000 15.4149
O 0.0000 2.0430 9.5588
```

=====

# 2
DFT (PBE) results for a relaxed Hg3GeRu crystal.

Symmetry: Pm-3m
Calculated total energy in Ry/atom: -0.1561

extended XYZ file:
```
5
Lattice="5.2038 0.0000 0.0000 0.0000 5.2038 0.0000 0.0000 0.0000 5.2038" Properties=species:S:1:pos:R:3 pbc="T T T"
Hg 0.0000 0.0000 2.6019
Hg 0.0000 2.6019 0.0000
Hg 2.6019 0.0000 0.0000
Ge 2.6019 2.6019 2.6019
Ru 0.0000 0.0000 0.0000
```

=====

# 3
DFT (PBE) results for a relaxed SiSn2Au6 crystal.

Symmetry: P2_1/c
Calculated total energy in Ry/atom: -0.2719

extended XYZ file:
```
18
Lattice="5.1949 0.0000 0.0000 0.0000 7.6447 0.0000 -2.8392 0.0000 9.3595" Properties=species:S:1:pos:R:3 pbc="T T T"
Si 0.0000 0.0000 0.0000
Si -1.4196 3.8224 4.6798
Sn 0.5094 0.6404 6.3336
Sn 1.9290 3.1819 1.6538
Sn 0.4266 4.4628 7.7057
Sn 1.8462 7.0043 3.0260
Au -0.6025 0.5950 2.3384
Au -2.0221 3.2274 7.0182
Au -2.2218 5.1620 9.3213
Au -0.8022 6.3051 4.6415
Au -0.7382 1.2836 8.8474
Au 0.6814 2.5387 4.1676
Au 1.6742 5.1060 5.1920
Au 3.0938 6.3611 0.5122
Au 3.1578 1.3397 4.7181
Au 4.5774 2.4827 0.0383
Au 4.3777 4.4173 2.3413
Au 2.9581 7.0498 7.0211
```

=====

# 4
DFT (PBE) results for a relaxed LaPaSnAu crystal.

Symmetry: F-43m
Calculated total energy in Ry/atom: -0.4218

extended XYZ file:
```
4
Lattice="0.0000 3.7960 3.7960 3.7960 0.0000 3.7960 3.7960 3.7960 0.0000" Properties=species:S:1:pos:R:3 pbc="T T T"
La 0.0000 0.0000 0.0000
Pa 3.7960 3.7960 3.7960
Sn 5.6940 5.6940 5.6940
Au 1.8980 1.8980 1.8980
```